VASP calculation (GGA-PBE) on a relaxed NdNp3Se6 crystal.

symmetry	No. 11
uncorrected formation energy	-1.319	eV per atom

abc: 11.5137 4.1483 11.9979
angles: 90.00 108.49 90.00
Sites, in units of the cell vectors:
1 Nd 0.0479 0.2500 0.1957
2 Nd 0.9521 0.7500 0.8043
3 Np 0.1570 0.2500 0.5826
4 Np 0.3178 0.7500 0.0009
5 Np 0.4381 0.2500 0.3329
6 Np 0.5619 0.7500 0.6671
7 Np 0.6822 0.2500 0.9991
8 Np 0.8430 0.7500 0.4174
9 Se 0.0860 0.7500 0.4038
10 Se 0.1180 0.2500 0.9647
11 Se 0.1965 0.7500 0.7497
12 Se 0.2616 0.7500 0.2270
13 Se 0.3937 0.2500 0.5562
14 Se 0.4867 0.2500 0.1163
15 Se 0.5133 0.7500 0.8837
16 Se 0.6063 0.7500 0.4438
17 Se 0.7384 0.2500 0.7730
18 Se 0.8035 0.2500 0.2503
19 Se 0.8820 0.7500 0.0353
20 Se 0.9140 0.2500 0.5962

---

VASP calculation (GGA-PBE) on a relaxed Nd2NpSe3 crystal.

symmetry	No. 139
uncorrected formation energy	-1.617	eV per atom

abc: 9.3262 9.3262 9.3262
angles: 153.88 153.88 37.28
Sites, in units of the cell vectors:
1 Nd 0.1671 0.1671 0.0000
2 Nd 0.8329 0.8329 0.0000
3 Np 0.5000 0.5000 0.0000
4 Se 0.0000 0.0000 0.0000
5 Se 0.3352 0.3352 0.0000
6 Se 0.6648 0.6648 0.0000

---

VASP calculation (GGA-PBE) on a relaxed NdNpTeSe2 crystal.

symmetry	No. 107
uncorrected formation energy	-1.016	eV per atom

abc: 7.7593 7.7593 7.7593
angles: 145.48 145.48 49.62
Sites, in units of the cell vectors:
1 Nd 0.0000 0.0000 0.0000
2 Np 0.2591 0.2591 0.0000
3 Te 0.6303 0.6303 0.0000
4 Se 0.3752 0.8752 0.5000
5 Se 0.8752 0.3752 0.5000

---

VASP calculation (GGA-PBE) on a relaxed NdNp2Tl3Se6 crystal.

symmetry	No. 12
uncorrected formation energy	-1.053	eV per atom

abc: 7.3743 7.3743 8.1385
angles: 98.69 98.69 119.99
Sites, in units of the cell vectors:
1 Nd 0.0000 0.0000 0.0000
2 Np 0.3331 0.6669 0.0000
3 Np 0.6669 0.3331 0.0000
4 Tl 0.1652 0.8348 0.5000
5 Tl 0.5000 0.5000 0.5000
6 Tl 0.8348 0.1652 0.5000
7 Se 0.0690 0.4102 0.2069
8 Se 0.2729 0.2729 0.7948
9 Se 0.4102 0.0690 0.2069
10 Se 0.5898 0.9310 0.7931
11 Se 0.7271 0.7271 0.2052
12 Se 0.9310 0.5898 0.7931

---

What is the uncorrected formation energy in the fourth record? -1.053 eV per atom